The following is a DFT calculation (PBE-GGA) of a relaxed structure of AcNd4Tm3.

Summary:
Electronic total energy: -4.484 eV per atom
Size of the total moment: 0.00 Bohr magnetons per cell
ΔE_f: 0.090 eV/atom

The structure in POSCAR format:
```
AcNd4Tm3
1.0
-1.450 1.554 -3.120
-5.295 -2.306 1.312
0.505 10.617 7.336
Ac Tm Nd
1 3 4
Direct
0.000 0.500 0.000
0.500 0.000 0.000
0.734 0.234 0.468
0.266 0.766 0.532
0.643 0.642 0.284
0.357 0.358 0.716
0.886 0.886 0.772
0.114 0.114 0.228
```